# MgNiIO2

A relaxed MgNiIO2 crystal (PBE with a Hubbard U, Alexandria via LeMat-Bulk). Values from VASP.

The structure in Quantum ESPRESSO input format:
```
&SYSTEM
  ibrav = 0, nat = 5, ntyp = 4
/
ATOMIC_SPECIES
Mg 24.30 Mg.upf
Ni 58.69 Ni.upf
O 16.00 O.upf
I 126.90 I.upf
CELL_PARAMETERS angstrom
-2.523 -2.818 -0.732
2.055 -1.037 -3.089
3.550 -4.153 3.756
ATOMIC_POSITIONS crystal
Mg 0.000 0.000 0.000
Ni 0.500 0.500 0.500
O 0.500 0.000 0.000
O 0.000 0.500 0.000
I 0.000 0.000 0.500
```

Output
Energy above the most stable polymorph in this dataset, eV/atom: 0.000
D(E_F), states/eV/f.u.: 6.289